# 1
Material: AcIr2O7
Method: DFT, PBE
State: relaxed

Properties
formation energy without anion corrections	-1150	meV/atom
E_tot	-68.04	eV per cell

a = 3.918 Å, b = 5.902 Å, c = 5.902 Å
α = 113.36°, β = 90.00°, γ = 90.00°
Element x y z (fractional)
1 Ac 0.000 0.000 0.000
2 Ir 0.500 0.696 0.304
3 Ir 0.500 0.304 0.696
4 O 0.000 0.727 0.273
5 O 0.000 0.273 0.727
6 O 0.500 0.046 0.324
7 O 0.500 0.954 0.676
8 O 0.500 0.324 0.046
9 O 0.500 0.676 0.954
10 O 0.500 0.500 0.500



# 2
Material: Cs5TiS4
Method: DFT, PBE
State: relaxed

Properties
formation energy without anion corrections	-1142	meV/atom
E_tot	-80.19	eV per cell

a = 8.113 Å, b = 10.863 Å, c = 9.933 Å
α = 90.00°, β = 90.00°, γ = 90.00°
Last column: magnetic moment on the atom in μB.
Element x y z (fractional)
1 Cs 0.731 0.188 0.250  0.01
2 Cs 0.731 0.188 0.750  0.01
3 Cs 0.151 0.000 0.500  0.01
4 Cs 0.731 0.812 0.250  0.01
5 Cs 0.731 0.812 0.750  0.01
6 Cs 0.269 0.688 0.250  0.01
7 Cs 0.269 0.688 0.750  0.01
8 Cs 0.849 0.500 0.000  0.01
9 Cs 0.269 0.312 0.750  0.01
10 Cs 0.269 0.312 0.250  0.01
11 Ti 0.193 0.000 0.000  0.14
12 Ti 0.807 0.500 0.500  0.14
13 S 0.034 0.176 0.000  -0.01
14 S 0.356 0.000 0.190  0.00
15 S 0.356 0.000 0.810  0.00
16 S 0.034 0.824 0.000  -0.01
17 S 0.966 0.676 0.500  -0.01
18 S 0.644 0.500 0.310  0.00
19 S 0.644 0.500 0.690  0.00
20 S 0.966 0.324 0.500  -0.01



# 3
Material: PaFe2GeC
Method: DFT, PBE
State: relaxed

Properties
E_form	-380	meV/atom
E_tot	-84.33	eV per cell

a = 3.810 Å, b = 5.737 Å, c = 6.738 Å
α = 90.00°, β = 90.00°, γ = 109.39°
Element x y z (fractional)
1 Pa 0.439 0.878 0.750
2 Pa 0.561 0.122 0.250
3 Fe 0.160 0.321 0.946
4 Fe 0.840 0.679 0.054
5 Fe 0.160 0.321 0.554
6 Fe 0.840 0.679 0.446
7 Ge 0.722 0.444 0.750
8 Ge 0.278 0.556 0.250
9 C 0.000 0.000 0.000
10 C 0.000 0.000 0.500



# 4
Material: La2CuOs
Method: DFT, PBE
State: relaxed

Properties
E_form	-41	meV/atom
E_tot	-25.34	eV per cell

a = 3.593 Å, b = 5.100 Å, c = 5.100 Å
α = 90.00°, β = 90.00°, γ = 90.00°
Element x y z (fractional)
1 Os 0.500 0.500 0.500
2 Cu 0.500 0.000 0.000
3 La 0.000 0.000 0.500
4 La 0.000 0.500 0.000